This record from the Alexandria database describes a relaxed structure of Ho2ErVO6. The functional is PBE with a Hubbard U.

Values from the calculation:
E_tot, eV per atom: -8.26
Magnetization, μB/f.u.: 2.0

abc: 5.613 5.614 5.886
angles: 118.44 90.05 119.99
Atoms (fractional coordinates):
Ho  0.000  0.000  0.000
Ho  0.495  0.989  0.483
Er  0.216  0.433  0.649
V  0.708  0.417  0.125
O  0.075  0.505  0.327
O  0.339  0.243  0.841
O  0.429  0.252  0.327
O  0.598  0.937  0.841
O  0.823  0.899  0.327
O  0.904  0.502  0.840



This record from the Alexandria database describes a relaxed structure of HoEr2WO8. The functional is PBE with a Hubbard U.

Values from the calculation:
E_tot, eV per atom: -7.92
Magnetization, μB/f.u.: 0.7

abc: 5.019 5.019 6.768
angles: 90.00 90.00 90.78
Atoms (fractional coordinates):
Ho  0.000  0.000  0.000
Er  0.500  0.500  0.251
Er  0.500  0.500  0.749
W  0.000  0.000  0.500
O  0.184  0.816  0.286
O  0.184  0.816  0.714
O  0.278  0.278  0.500
O  0.308  0.308  0.000
O  0.692  0.692  0.000
O  0.722  0.722  0.500
O  0.816  0.184  0.286
O  0.816  0.184  0.714



This record from the Alexandria database describes a relaxed structure of HoErWO6. The functional is PBE with a Hubbard U.

Values from the calculation:
E_tot, eV per atom: -8.05
Magnetization, μB/f.u.: 0.0

abc: 5.497 5.497 9.445
angles: 90.00 90.00 120.00
Atoms (fractional coordinates):
Ho  0.000  0.000  0.000
Ho  0.000  0.000  0.500
Er  0.333  0.667  0.250
Er  0.667  0.333  0.750
W  0.333  0.667  0.750
W  0.667  0.333  0.250
O  0.039  0.368  0.635
O  0.039  0.671  0.865
O  0.329  0.368  0.865
O  0.329  0.961  0.635
O  0.368  0.039  0.135
O  0.368  0.329  0.365
O  0.632  0.671  0.635
O  0.632  0.961  0.865
O  0.671  0.039  0.365
O  0.671  0.632  0.135
O  0.961  0.329  0.135
O  0.961  0.632  0.365